No. 1
This record from Alexandria via LeMat-Bulk describes CaOs3Au after structural relaxation. The functional is PBE.

Summary:
- DOS(E_F) (states/eV/f.u.) = 5.5
- excess energy over the best structure of this formula in the dataset (meV/atom) = 887
- energy of formation (eV/atom) = 3.15

Cell lengths 4.6540, 4.6540, 4.6540 Å; angles 90.00, 90.00, 90.00 degrees
Last column: nearest neighbours and their distance in Å.
Fractional positions:
Ca 0.0000 0.0000 0.0000  6 Os 2.33
Os 0.0000 0.0000 0.5000  2 Ca 2.33
Os 0.0000 0.5000 0.0000  2 Ca 2.33
Os 0.5000 0.0000 0.0000  2 Ca 2.33
Au 0.5000 0.5000 0.5000  12 Os 3.29

No. 2
This record from Alexandria via LeMat-Bulk describes CaOsAu after structural relaxation. The functional is PBE.

Summary:
- DOS(E_F) (states/eV/f.u.) = 3.0
- excess energy over the best structure of this formula in the dataset (meV/atom) = 375
- energy of formation (eV/atom) = 0.73

Cell lengths 6.5533, 6.5533, 6.5533 Å; angles 90.00, 90.00, 90.00 degrees
Last column: nearest neighbours and their distance in Å.
Fractional positions:
Ca 0.0000 0.0000 0.0000  4 Au 2.84
Ca 0.0000 0.5000 0.5000  4 Au 2.84
Ca 0.5000 0.0000 0.5000  4 Au 2.84
Ca 0.5000 0.5000 0.0000  4 Au 2.84
Os 0.0000 0.0000 0.5000  4 Au 2.84
Os 0.0000 0.5000 0.0000  4 Au 2.84
Os 0.5000 0.0000 0.0000  4 Au 2.84
Os 0.5000 0.5000 0.5000  4 Au 2.84
Au 0.2500 0.2500 0.7500  4 Os 2.84, 4 Ca 2.84
Au 0.2500 0.7500 0.2500  4 Os 2.84, 4 Ca 2.84
Au 0.7500 0.2500 0.2500  4 Os 2.84, 4 Ca 2.84
Au 0.7500 0.7500 0.7500  4 Ca 2.84, 4 Os 2.84

No. 3
This record from Alexandria via LeMat-Bulk describes CaOsAu4 after structural relaxation. The functional is PBE.

Summary:
- DOS(E_F) (states/eV/f.u.) = 6.6
- energy of formation (eV/atom) = 0.27

Cell lengths 5.4816, 5.4816, 5.4816 Å; angles 60.00, 60.00, 60.00 degrees
Last column: nearest neighbours and their distance in Å.
Fractional positions:
Ca 0.0000 0.0000 0.0000  12 Au 3.21, 4 Os 3.36
Os 0.7500 0.7500 0.7500  12 Au 3.21, 4 Ca 3.36
Au 0.3753 0.3753 0.3753  6 Au 2.73-2.75
Au 0.3753 0.3753 0.8741  6 Au 2.73-2.75
Au 0.3753 0.8741 0.3753  6 Au 2.73-2.75
Au 0.8741 0.3753 0.3753  6 Au 2.73-2.75

No. 4
This record from Alexandria via LeMat-Bulk describes CaOs3Au after structural relaxation. The functional is PBE.

Summary:
- DOS(E_F) (states/eV/f.u.) = 6.3
- excess energy over the best structure of this formula in the dataset (meV/atom) = 0
- energy of formation (eV/atom) = 2.27

Cell lengths 4.9363, 4.9363, 4.9363 Å; angles 90.00, 90.00, 90.00 degrees
Last column: nearest neighbours and their distance in Å.
Fractional positions:
Ca 0.0000 0.0000 0.0000  12 Os 3.49
Os 0.0000 0.5000 0.5000  2 Au 2.47
Os 0.5000 0.0000 0.5000  2 Au 2.47
Os 0.5000 0.5000 0.0000  2 Au 2.47
Au 0.5000 0.5000 0.5000  6 Os 2.47

No. 5
This record from Alexandria via LeMat-Bulk describes CaOsAu after structural relaxation. The functional is PBE.

Summary:
- DOS(E_F) (states/eV/f.u.) = 2.7
- excess energy over the best structure of this formula in the dataset (meV/atom) = 47
- energy of formation (eV/atom) = 0.40

Cell lengths 2.7528, 4.4148, 9.7222 Å; angles 90.00, 90.00, 90.00 degrees
Last column: nearest neighbours and their distance in Å.
Fractional positions:
Ca 0.0000 0.0000 0.0000  2 Ca 2.75, 1 Au 2.93, 1 Os 2.96
Ca 0.5000 0.5000 0.5000  2 Ca 2.75, 1 Au 2.93, 1 Os 2.96
Os 0.0000 0.0000 0.6957  2 Os 2.75, 4 Au 2.80, 1 Ca 2.96
Os 0.5000 0.5000 0.1957  2 Os 2.75, 4 Au 2.80, 1 Ca 2.96
Au 0.0000 0.0000 0.3018  2 Au 2.75, 4 Os 2.80, 1 Ca 2.93
Au 0.5000 0.5000 0.8018  2 Au 2.75, 4 Os 2.80, 1 Ca 2.93

No. 6
This record from Alexandria via LeMat-Bulk describes CaOsAu2 after structural relaxation. The functional is PBE.

Summary:
- DOS(E_F) (states/eV/f.u.) = 3.3
- excess energy over the best structure of this formula in the dataset (meV/atom) = 381
- energy of formation (eV/atom) = 0.50

Cell lengths 4.7448, 4.7448, 17.4936 Å; angles 90.00, 90.00, 90.00 degrees
Last column: nearest neighbours and their distance in Å.
Fractional positions:
Ca 0.0000 0.0000 0.0000  4 Au 2.97
Ca 0.0000 0.5000 0.2500  4 Au 2.97
Ca 0.5000 0.0000 0.7500  4 Au 2.97
Ca 0.5000 0.5000 0.5000  4 Au 2.97
Os 0.0000 0.0000 0.5000  4 Au 2.60
Os 0.0000 0.5000 0.7500  4 Au 2.60
Os 0.5000 0.0000 0.2500  4 Au 2.60
Os 0.5000 0.5000 0.0000  4 Au 2.60
Au 0.1584 0.2500 0.6250  2 Os 2.60, 2 Au 2.81
Au 0.2500 0.6584 0.8750  2 Os 2.60, 2 Au 2.81
Au 0.2500 0.8416 0.3750  2 Os 2.60, 2 Au 2.81
Au 0.3416 0.2500 0.1250  2 Os 2.60, 2 Au 2.81
Au 0.6584 0.7500 0.1250  2 Os 2.60, 2 Au 2.81
Au 0.7500 0.1584 0.3750  2 Os 2.60, 2 Au 2.81
Au 0.7500 0.3416 0.8750  2 Os 2.60, 2 Au 2.81
Au 0.8416 0.7500 0.6250  2 Os 2.60, 2 Au 2.81

No. 7
This record from Alexandria via LeMat-Bulk describes CaOsAu2 after structural relaxation. The functional is PBE.

Summary:
- DOS(E_F) (states/eV/f.u.) = 3.6
- excess energy over the best structure of this formula in the dataset (meV/atom) = 146
- energy of formation (eV/atom) = 0.27

Cell lengths 9.9220, 2.7892, 5.4792 Å; angles 90.00, 98.80, 90.00 degrees
Last column: nearest neighbours and their distance in Å.
Fractional positions:
Ca 0.0000 0.0000 0.0000  2 Ca 2.79, 2 Au 2.96, 4 Os 3.07
Ca 0.5000 0.5000 0.0000  2 Ca 2.79, 2 Au 2.96, 4 Os 3.07
Os 0.0000 0.5000 0.5000  2 Os 2.79, 6 Au 2.85-3.07, 4 Ca 3.07
Os 0.5000 0.0000 0.5000  2 Os 2.79, 6 Au 2.85-3.07, 4 Ca 3.07
Au 0.2362 0.0000 0.7295  4 Au 2.79-2.92, 3 Os 2.85-3.07, 1 Ca 2.96
Au 0.2638 0.5000 0.2705  4 Au 2.79-2.92, 3 Os 2.85-3.07, 1 Ca 2.96
Au 0.7362 0.5000 0.7295  4 Au 2.79-2.92, 3 Os 2.85-3.07, 1 Ca 2.96
Au 0.7638 0.0000 0.2705  4 Au 2.79-2.92, 3 Os 2.85-3.07, 1 Ca 2.96

No. 8
This record from Alexandria via LeMat-Bulk describes CaOsAu2 after structural relaxation. The functional is PBE.

Summary:
- DOS(E_F) (states/eV/f.u.) = 2.4
- excess energy over the best structure of this formula in the dataset (meV/atom) = 82
- energy of formation (eV/atom) = 0.21

Cell lengths 2.7774, 4.2953, 6.2243 Å; angles 90.00, 90.21, 90.00 degrees
Last column: nearest neighbours and their distance in Å.
Fractional positions:
Ca 0.0000 0.0000 0.0000  2 Ca 2.78, 8 Au 3.08
Os 0.0000 0.0000 0.5000  2 Os 2.78, 8 Au 2.91
Au 0.5003 0.5000 0.2763  3 Au 2.78, 4 Os 2.91, 4 Ca 3.08
Au 0.4997 0.5000 0.7237  3 Au 2.78, 4 Os 2.91, 4 Ca 3.08

No. 9
This record from Alexandria via LeMat-Bulk describes Ca4OsAu after structural relaxation. The functional is PBE.

Summary:
- DOS(E_F) (states/eV/f.u.) = 5.7
- energy of formation (eV/atom) = 0.87

Cell lengths 5.9731, 5.9731, 5.9731 Å; angles 60.00, 60.00, 60.00 degrees
Last column: nearest neighbours and their distance in Å.
Fractional positions:
Ca 0.1241 0.1241 0.1241  6 Ca 2.97-3.01
Ca 0.1241 0.1241 0.6277  6 Ca 2.97-3.01
Ca 0.1241 0.6277 0.1241  6 Ca 2.97-3.01
Ca 0.6277 0.1241 0.1241  6 Ca 2.97-3.01
Os 0.7500 0.7500 0.7500  12 Ca 3.50, 4 Au 3.66
Au 0.5000 0.5000 0.5000  12 Ca 3.50, 4 Os 3.66

No. 10
This record from Alexandria via LeMat-Bulk describes CaOsAu2 after structural relaxation. The functional is PBE.

Summary:
- DOS(E_F) (states/eV/f.u.) = 2.1
- excess energy over the best structure of this formula in the dataset (meV/atom) = 168
- energy of formation (eV/atom) = 0.29

Cell lengths 3.5621, 3.5621, 6.1581 Å; angles 90.00, 90.00, 90.00 degrees
Last column: nearest neighbours and their distance in Å.
Fractional positions:
Ca 0.0000 0.0000 0.0000  5 Au 2.89-2.96, 4 Os 3.12
Os 0.5000 0.5000 0.2993  5 Au 2.73-2.76
Au 0.0000 0.0000 0.4701  4 Os 2.73, 1 Ca 2.89, 4 Au 3.04
Au 0.5000 0.5000 0.7478  1 Os 2.76, 4 Ca 2.96, 4 Au 3.04

No. 11
This record from Alexandria via LeMat-Bulk describes CaOsAu after structural relaxation. The functional is PBE.

Summary:
- DOS(E_F) (states/eV/f.u.) = 8.3
- excess energy over the best structure of this formula in the dataset (meV/atom) = 958
- energy of formation (eV/atom) = 1.31

Cell lengths 6.5798, 6.5798, 6.5798 Å; angles 90.00, 90.00, 90.00 degrees
Last column: nearest neighbours and their distance in Å.
Fractional positions:
Ca 0.0000 0.0000 0.0000  4 Au 2.85, 4 Os 2.85
Ca 0.0000 0.5000 0.5000  4 Au 2.85, 4 Os 2.85
Ca 0.5000 0.0000 0.5000  4 Au 2.85, 4 Os 2.85
Ca 0.5000 0.5000 0.0000  4 Au 2.85, 4 Os 2.85
Os 0.2500 0.2500 0.2500  4 Ca 2.85
Os 0.2500 0.7500 0.7500  4 Ca 2.85
Os 0.7500 0.2500 0.7500  4 Ca 2.85
Os 0.7500 0.7500 0.2500  4 Ca 2.85
Au 0.2500 0.2500 0.7500  4 Ca 2.85
Au 0.2500 0.7500 0.2500  4 Ca 2.85
Au 0.7500 0.2500 0.2500  4 Ca 2.85
Au 0.7500 0.7500 0.7500  4 Ca 2.85

No. 12
This record from Alexandria via LeMat-Bulk describes CaOsAu after structural relaxation. The functional is PBE.

Summary:
- DOS(E_F) (states/eV/f.u.) = 2.7
- excess energy over the best structure of this formula in the dataset (meV/atom) = 225
- energy of formation (eV/atom) = 0.58

Cell lengths 2.9530, 2.9530, 7.3403 Å; angles 90.00, 90.00, 120.00 degrees
Last column: nearest neighbours and their distance in Å.
Fractional positions:
Ca 0.0000 0.0000 0.0000  3 Os 2.93, 6 Ca 2.95, 3 Au 3.08
Os 0.6667 0.3333 0.3251  3 Ca 2.93, 3 Au 2.94, 6 Os 2.95
Au 0.3333 0.6667 0.6510  3 Os 2.94, 6 Au 2.95, 3 Ca 3.08